Ta3MnTc: optimized geometry, GGA-PBE.

Geometry as POSCAR:
```
Ta3MnTc
1.0
-4.4733 -0.0296 0.6712
0.6186 -1.9450 4.0368
0.2622 4.0838 1.9275
Mn Tc Ta
1 1 3
Direct
0.0000 0.0000 0.0000
0.5000 0.5000 0.5000
0.0000 0.5000 0.0000
0.0000 0.0000 0.5000
0.5000 0.0000 0.0000
```

Calculated values
The calculation puts the density of states at the Fermi level at 8.119 states/eV per cell. For the total energy, the calculation gives -50.221 eV per cell. The calculation puts the offset from the most stable computed form at 0.00 eV/f.u.

---

PuUPa4: optimized geometry, GGA-PBE.

Geometry as POSCAR:
```
PuUPa4
1.0
7.2542 0.0000 0.0000
0.0000 7.4069 0.0000
-3.6271 -3.7034 5.1711
Pu U Pa
2 2 8
Direct
0.5000 0.0000 0.5000
0.0000 0.0000 0.5000
0.5000 0.5000 0.0000
0.5000 0.0000 0.0000
0.7664 0.7489 0.5328
0.2258 0.7468 0.9936
0.7678 0.7468 0.9936
0.7664 0.2840 0.5328
0.2336 0.7160 0.4672
0.7742 0.2532 0.0064
0.2322 0.2532 0.0064
0.2336 0.2511 0.4672
```

Calculated values
The calculation puts the density of states at the Fermi level at 17.969 states/eV per cell. For the total energy, the calculation gives -122.444 eV per cell.

---

ReAuCl2: optimized geometry, GGA-PBE.

Geometry as POSCAR:
```
ReAuCl2
1.0
8.2366 -7.5791 4.7649
9.8271 -5.1583 4.9809
7.9591 -5.8618 7.0909
Re Au Cl
1 1 2
Direct
0.0000 0.0000 0.0000
0.5000 0.5000 0.5000
0.9384 0.9384 0.9384
0.0616 0.0616 0.0616
```

Calculated values
The calculation puts the density of states at the Fermi level at 2.531 states/eV per cell. The value obtained for the uncorrected formation energy is 197 meV per atom. For the total energy, the calculation gives -18.630 eV per cell. The calculation puts the offset from the most stable computed form at 0.31 eV/f.u.

---

AcZn4Si2: optimized geometry, GGA-PBE.

Geometry as POSCAR:
```
AcZn4Si2
1.0
-0.1288 -1.4338 -3.9626
-1.4909 -3.7064 1.3896
-6.0745 4.3420 -1.3736
Ac Zn Si
1 4 2
Direct
0.0000 0.0000 0.0000
0.5000 0.8144 0.6288
0.0000 0.6926 0.3853
0.5000 0.1856 0.3712
0.0000 0.3074 0.6147
0.5000 0.5869 0.1738
0.5000 0.4131 0.8262
```

Calculated values
The calculation puts the density of states at the Fermi level at 1.822 states/eV per cell. The value obtained for the uncorrected formation energy is -240 meV per atom. For the total energy, the calculation gives -21.734 eV per cell.